VASP calculation (PBE) on crystalline La4CdCu at its relaxed geometry.

## Properties
For the energy above the most stable polymorph in this dataset, the calculation gives 575 meV per atom. The calculation puts the formation enthalpy at 0 K at 0.439 eV per atom. Its space-group type is F-43m, No. 216. The crystal system is cubic. Its total magnetic moment is 0.0 μB/cell.

abc: 6.451 6.451 6.451
angles: 60.00 60.00 60.00
Positions (direct):
La  0.125  0.125  0.125
La  0.125  0.125  0.626
La  0.125  0.626  0.125
La  0.626  0.125  0.125
Cd  0.750  0.750  0.750
Cu  0.500  0.500  0.500